Ac3Fe2O9 (GGA+U, optimized geometry); magnetization = 0.5000 μB/atom; raw total energy = -100.349 eV per cell; symmetry = P-3m1 (164)
1.0
5.554 0.000 0.000
-2.777 4.810 0.000
0.000 0.000 6.894
Fe Ac O
2 3 9
Cartesian
0.000 3.207 5.734 Fe
2.777 1.603 1.159 Fe
0.000 3.207 2.403 Ac
0.000 0.000 0.000 Ac
2.777 1.603 4.490 Ac
2.777 0.000 0.000 O
2.777 3.136 2.216 O
0.000 1.674 4.678 O
-1.388 2.405 0.000 O
1.327 3.973 4.678 O
1.450 0.837 2.216 O
1.388 2.405 0.000 O
-1.327 3.973 4.678 O
4.104 0.837 2.216 O

Ac6FeO12 (GGA+U, optimized geometry); magnetization = 0.0953 μB/atom; raw total energy = -141.991 eV per cell; symmetry = R-3 (148)
1.0
6.955 -0.006 -1.071
-1.248 6.842 -1.071
-0.005 -0.006 7.037
Ac O Fe
6 12 1
Cartesian
1.876 4.849 4.867 Ac
1.842 0.952 3.778 Ac
3.860 5.879 1.116 Ac
3.826 1.982 0.028 Ac
5.483 2.712 3.646 Ac
0.219 4.119 1.248 Ac
3.827 6.421 -1.525 O
3.322 2.753 4.767 O
5.032 3.761 1.368 O
1.875 0.410 6.420 O
6.356 1.918 -0.906 O
6.484 0.235 4.014 O
-0.782 6.596 0.880 O
-0.654 4.913 5.800 O
2.380 4.078 0.127 O
1.777 5.623 2.561 O
0.670 3.070 3.526 O
3.925 1.208 2.333 O
0.000 0.000 0.000 Fe

Ac2FeOsO8 (GGA+U, optimized geometry); magnetization = 0.3337 μB/atom; raw total energy = -89.141 eV per cell; symmetry = P-1 (2)
1.0
-4.037 -1.718 -0.482
1.347 -2.741 4.561
-2.213 5.059 4.780
O Fe Ac Os
8 1 2 1
Cartesian
-3.511 -0.384 5.350 O
-0.985 -0.938 1.271 O
-1.392 0.985 3.510 O
-3.918 1.539 7.589 O
-4.769 2.380 4.873 O
-1.165 0.910 8.050 O
-3.738 -0.309 0.809 O
-0.134 -1.779 3.987 O
-1.107 2.530 2.390 Fe
-2.705 -1.173 3.134 Ac
-2.199 1.774 5.725 Ac
0.000 0.000 0.000 Os

AcFeOsO6 (GGA+U, optimized geometry); magnetization = 0.3270 μB/atom; raw total energy = -130.607 eV per cell; symmetry = P-31c (163)
1.0
-5.279 1.294 1.576
1.644 -5.411 -0.210
2.463 0.443 7.889
O Os Fe Ac
12 2 2 2
Cartesian
1.516 -4.345 5.113 O
-2.435 -2.462 1.900 O
1.704 -1.602 4.901 O
1.264 -1.213 7.355 O
-1.515 0.101 1.469 O
-4.111 -0.309 2.302 O
-2.876 -2.072 4.354 O
2.939 -3.365 6.952 O
0.344 -3.775 7.786 O
-0.508 -0.911 3.550 O
-0.663 -2.764 5.705 O
-2.688 0.670 4.141 O
1.184 -2.844 6.302 Os
-2.355 -0.830 2.953 Os
1.232 0.221 3.945 Fe
0.000 0.000 0.000 Fe
-1.124 -0.609 6.897 Ac
-0.048 -3.065 2.358 Ac

AcPaFeO5 (GGA+U, optimized geometry); magnetization = 0.5000 μB/atom; raw total energy = -135.950 eV per cell; symmetry = C2/c (15)
1.0
6.175 -0.158 -0.044
-1.953 5.860 -0.044
-1.803 -2.436 7.486
O Fe Pa Ac
10 2 2 2
Cartesian
2.413 2.639 3.053 O
3.372 -0.479 2.979 O
1.500 1.406 0.601 O
4.145 -1.483 5.570 O
0.005 0.627 4.344 O
-0.954 3.745 4.418 O
-2.344 1.868 6.721 O
0.918 1.860 6.796 O
4.762 1.399 0.675 O
-1.727 4.749 1.827 O
3.118 1.163 1.827 Fe
-0.699 2.103 5.570 Fe
0.000 0.000 0.000 Pa
-0.902 -1.218 3.743 Pa
2.146 -0.003 5.570 Ac
0.272 3.270 1.827 Ac

AcPaFe2O8 (GGA+U, optimized geometry); magnetization = 0.6660 μB/atom; raw total energy = -91.540 eV per cell; symmetry = I-4m2 (119)
1.0
6.167 0.138 0.000
-2.611 5.588 0.000
-1.778 -2.863 5.166
O Fe Ac Pa
8 2 1 1
Cartesian
3.311 3.344 1.049 O
0.249 -1.587 4.117 O
3.009 1.588 3.448 O
0.244 2.383 1.049 O
-0.249 1.587 4.117 O
4.478 0.676 1.718 O
3.158 -1.450 3.448 O
1.689 -0.538 1.718 O
3.083 0.069 2.583 Fe
1.778 2.863 0.000 Fe
0.000 0.000 0.000 Ac
-1.306 2.794 2.583 Pa

AcFePb2O8 (GGA+U, optimized geometry); magnetization = 0.4154 μB/atom; raw total energy = -71.572 eV per cell; symmetry = P-1 (2)
1.0
-2.053 -2.703 -3.861
-3.968 -1.685 2.823
-3.673 5.475 -1.884
O Pb Ac Fe
8 2 1 1
Cartesian
-5.349 1.866 -4.130 O
-3.140 -1.420 -2.997 O
-7.904 2.391 -2.614 O
-3.794 1.309 -1.285 O
-4.345 -0.779 1.208 O
-6.554 2.508 0.075 O
-5.900 -0.221 -1.637 O
-1.790 -1.303 -0.308 O
-5.812 1.984 -1.957 Pb
-3.882 -0.896 -0.965 Pb
-1.836 2.738 -0.942 Ac
0.000 0.000 0.000 Fe

Ac2FePbO5 (GGA+U, optimized geometry); magnetization = 0.4441 μB/atom; raw total energy = -125.228 eV per cell; symmetry = Cmc2_1 (36)
1.0
-3.152 -0.509 1.749
2.909 -8.062 -0.894
4.709 0.734 8.698
Ac O Pb Fe
4 10 2 2
Cartesian
3.108 -5.445 7.803 Ac
1.811 -2.322 2.587 Ac
3.738 -1.787 6.213 Ac
0.399 -6.101 2.730 Ac
3.022 -3.089 8.333 O
0.417 -1.672 0.265 O
-0.219 -3.666 2.326 O
1.185 -2.568 5.175 O
3.911 -4.291 5.798 O
1.986 -6.486 5.477 O
2.466 -4.588 3.106 O
5.590 -4.909 8.643 O
2.464 -7.532 2.247 O
2.100 -0.289 7.488 O
3.598 -7.574 4.277 Pb
3.166 0.095 9.518 Pb
0.606 -3.651 0.028 Fe
1.546 -4.546 5.250 Fe